(1)
DFT (PBE) results for a geometry-optimized HoMgZn2 structure.

Unit cell a=4.8133 b=4.8133 c=4.8133 alpha=60.00 beta=60.00 gamma=60.00
Positions (direct):
Ho 0.5000 0.5000 0.5000
Zn 0.2500 0.2500 0.2500
Mg 0.0000 0.0000 0.0000
Zn 0.7500 0.7500 0.7500

Properties
For the density of states at the Fermi level, the calculation gives 1.89 states/eV/f.u. The value obtained for the formation energy is -0.3293 eV per atom. The raw total energy is -10.04 eV for the cell shown. The value obtained for the density is 6740 kg/m3. The symmetry is Fm-3m. The calculation puts the energy above the most stable polymorph in this dataset at 0.00 eV/f.u.

***

(2)
DFT (PBE) results for a geometry-optimized Ho3Mg2Zn2 structure.

Unit cell a=5.8021 b=5.8062 c=8.1068 alpha=102.07 beta=107.86 gamma=129.81
Positions (direct):
Ho 0.0000 0.0000 0.0000
Ho 0.3068 0.0615 0.6847
Mg 0.8841 0.5049 0.1950
Mg 0.1159 0.4951 0.8050
Zn 0.4558 0.6762 0.5651
Ho 0.6932 0.9385 0.3153
Zn 0.5442 0.3238 0.4349

Properties
For the density of states at the Fermi level, the calculation gives 6.73 states/eV/f.u. The value obtained for the formation energy is -0.1765 eV per atom. The raw total energy is -20.71 eV for the cell shown. The value obtained for the density is 6738 kg/m3. The symmetry is P-1.

***

(3)
DFT (PBE) results for a geometry-optimized Ho8Mg2Zn structure.

Unit cell a=5.3160 b=6.9101 c=9.2848 alpha=106.07 beta=106.64 gamma=90.00
Positions (direct):
Ho 0.9804 0.2272 0.9608
Mg 0.1870 0.7105 0.3741
Ho 0.1940 0.2729 0.3880
Ho 0.3424 0.0444 0.6848
Mg 0.8130 0.2895 0.6259
Ho 0.5951 0.4451 0.1901
Zn 0.5000 0.0000 0.0000
Ho 0.0196 0.7728 0.0392
Ho 0.6576 0.9556 0.3152
Ho 0.4049 0.5549 0.8099
Ho 0.8060 0.7271 0.6120

Properties
For the density of states at the Fermi level, the calculation gives 12.56 states/eV/f.u. The value obtained for the formation energy is 0.0037 eV per atom. The raw total energy is -41.05 eV for the cell shown. The value obtained for the density is 7608 kg/m3. The symmetry is C2/m.